VASP calculation (PBE) on a relaxed TlPbBr2N crystal.

As for the crystal system: tetragonal. As for the raw total energy: -3.359 eV/atom.

Unit cell a=6.0589 b=6.0589 c=4.3960 alpha=90.00 beta=90.00 gamma=90.00
With the nearest neighbours (Å) after each atom.
Space group P4/mmm (No. 123)
One atom of each set of equivalent atoms:
Tl: 0.0000 0.0000 0.0000 (multiplicity 1)  8 Br 3.74
Pb: 0.5000 0.5000 0.5000 (multiplicity 1)  2 N 2.20
Br: 0.0000 0.5000 0.5000 (multiplicity 2)  2 Pb 3.03
N: 0.5000 0.5000 0.0000 (multiplicity 1)  2 Pb 2.20